ZrBeS3, optimized geometry, DFT PBE-GGA; formation energy without anion corrections = 3.49 kJ per mole of atoms; DFT total energy = -24.5 eV per formula unit; total moment = 0.0 μB per formula unit; SG = Pm-3m (221); ΔE to the lowest computed polymorph = 0.413 eV/atom
1.0
4.958 0.000 0.000
0.000 4.958 0.000
0.000 0.000 4.958
Zr Be S
1 1 3
Direct
0.000 0.000 0.000
0.500 0.500 0.500
0.000 0.000 0.500
0.500 0.000 0.000
0.000 0.500 0.000